A relaxed Ba2FeO5 crystal. Source: the Alexandria database, functional PBE+U.

The space group is I4mm (No. 107) and the conventional cell measures 5.983, 5.983 and 7.852 Å, with angles of 90.00, 90.00 and 90.00 degrees. Symmetry generates all atoms from Ba at (0.000, 0.500, 0.000), Fe at (0.000, 0.000, 0.225), O at (0.000, 0.000, 0.005) and O at (0.211, 0.211, 0.268).

The value obtained for the density of states at the Fermi level is 0.25 states/eV per atom. The energy is -95.23 eV for the cell shown. The calculation puts the total moment at 0.4908 μB/atom.